DFT (PBE) results for an optimized crystal structure of AgSbPb.

Geometry as POSCAR:
```
AgSbPb
1.0
-0.676 -4.721 1.219
-0.841 -3.351 -3.506
3.447 -3.341 -1.089
Pb Sb Ag
1 1 1
Direct
0.000 0.000 0.000 Pb
0.500 0.500 0.500 Sb
0.750 0.750 0.750 Ag
```

Calculated values
For the spin magnetization, the calculation gives 0.000 Bohr magnetons per cell. The value obtained for the formation energy without anion corrections is 0.031 eV per atom. As for the symmetry: F-43m.